Entry 1:
GGA-PBEsol Mg2B2AsIr5, relaxed; density = 14.12 g/cm3; DOS at the Fermi energy = 0.247 states/eV per atom; DFT formation energy = -425 meV/atom; final energy = -151.88 eV for the cell shown; total moment = 0.000 μB per formula unit
1.0
9.394 0.000 0.000
0.000 9.394 0.000
0.000 0.000 2.949
Mg B As Ir
4 4 2 10
Direct
0.175 0.325 0.000 Mg
0.325 0.825 0.000 Mg
0.675 0.175 0.000 Mg
0.825 0.675 0.000 Mg
0.125 0.625 0.000 B
0.375 0.125 0.000 B
0.625 0.875 0.000 B
0.875 0.375 0.000 B
0.000 0.000 0.000 As
0.500 0.500 0.000 As
0.000 0.500 0.500 Ir
0.073 0.785 0.500 Ir
0.215 0.073 0.500 Ir
0.285 0.573 0.500 Ir
0.427 0.285 0.500 Ir
0.500 0.000 0.500 Ir
0.573 0.715 0.500 Ir
0.715 0.427 0.500 Ir
0.785 0.927 0.500 Ir
0.927 0.215 0.500 Ir


Entry 2:
GGA-PBEsol LaPb2Br, relaxed; offset from the most stable computed form = 0.0 meV per atom; density = 8.71 g/cm3; DOS at the Fermi energy = 0.614 states/eV per atom; ΔE_f (raw) = -709 meV per atom; final energy = -18.05 eV for the cell shown; total moment = 0.000 μB per formula unit
1.0
3.756 0.000 0.000
0.000 3.756 0.000
0.000 0.000 8.554
La Pb Br
1 2 1
Direct
0.000 0.000 0.000 La
0.000 0.000 0.531 Pb
0.500 0.500 0.741 Pb
0.500 0.500 0.192 Br


Question: Among the records above, which one has the lowest final energy?
Answer: Mg2B2AsIr5


Question: Number 1 is which compound?
Answer: Mg2B2AsIr5